1.
# Sc2AgHgB

A relaxed Sc2AgHgB crystal (GGA-PBE, Alexandria).

Cell and atoms, written as extended XYZ:
```
5
Lattice="5.255 0.000 0.000 0.000 5.255 0.000 0.000 0.000 5.067" Properties=species:S:1:pos:R:3 pbc="T T T"
Sc 0.000 2.627 0.000
Sc 2.627 0.000 0.000
Ag 0.000 0.000 2.534
Hg 0.000 0.000 0.000
B 2.627 2.627 2.534
```

Results
density of states at the Fermi level: 6.7 states/eV per cell
ΔE_f: 1.33 eV/atom
total magnetization: 0.00 μB per cell
space group: No. 123
calculated volume: 139.9 Å³ per cell

=====

2.
# HoAgB

A relaxed HoAgB crystal (GGA-PBE, Alexandria).

Cell and atoms, written as extended XYZ:
```
6
Lattice="4.448 -1.871 0.000 4.448 1.871 0.000 -1.252 0.000 6.763" Properties=species:S:1:pos:R:3 pbc="T T T"
Ho 0.604 0.000 2.122
Ho 7.040 0.000 4.641
Ag 3.151 0.000 0.544
Ag 4.493 0.000 6.219
B 3.204 0.000 2.897
B 4.441 0.000 3.866
```

Results
density of states at the Fermi level: 3.2 states/eV per cell
ΔE_f: -0.17 eV/atom
total magnetization: 0.00 μB per cell
space group: No. 12
calculated volume: 112.5 Å³ per cell

=====

3.
# HoAg2B2O6

A relaxed HoAg2B2O6 crystal (GGA-PBE, Alexandria).

Cell and atoms, written as extended XYZ:
```
11
Lattice="5.331 0.000 0.000 -2.666 4.617 0.000 0.000 0.000 6.111" Properties=species:S:1:pos:R:3 pbc="T T T"
Ho 0.000 0.000 0.000
Ag 0.000 3.078 1.788
Ag 2.666 1.539 4.323
B 0.000 3.078 4.775
B 2.666 1.539 1.335
O -0.456 1.774 4.776
O -0.901 4.125 4.776
O 1.308 1.282 1.335
O 1.358 3.335 4.776
O 3.567 0.492 1.335
O 3.122 2.843 1.335
```

Results
density of states at the Fermi level: 5.0 states/eV per cell
total magnetization: 1.03 μB per cell
raw formation energy: -20.9 eV/f.u.
space group: No. 147
calculated volume: 150.4 Å³ per cell

=====

Question: calculated volume of number 1 (Sc2AgHgB)?
Answer: 139.9 Å³ per cell

=====

What did the first record say?
# Sc2AgHgB

A relaxed Sc2AgHgB crystal (GGA-PBE, Alexandria).

Cell and atoms, written as extended XYZ:
```
5
Lattice="5.255 0.000 0.000 0.000 5.255 0.000 0.000 0.000 5.067" Properties=species:S:1:pos:R:3 pbc="T T T"
Sc 0.000 2.627 0.000
Sc 2.627 0.000 0.000
Ag 0.000 0.000 2.534
Hg 0.000 0.000 0.000
B 2.627 2.627 2.534
```

Results
density of states at the Fermi level: 6.7 states/eV per cell
ΔE_f: 1.33 eV/atom
total magnetization: 0.00 μB per cell
space group: No. 123
calculated volume: 139.9 Å³ per cell

=====

Copy entry 3 word for word.
# HoAg2B2O6

A relaxed HoAg2B2O6 crystal (GGA-PBE, Alexandria).

Cell and atoms, written as extended XYZ:
```
11
Lattice="5.331 0.000 0.000 -2.666 4.617 0.000 0.000 0.000 6.111" Properties=species:S:1:pos:R:3 pbc="T T T"
Ho 0.000 0.000 0.000
Ag 0.000 3.078 1.788
Ag 2.666 1.539 4.323
B 0.000 3.078 4.775
B 2.666 1.539 1.335
O -0.456 1.774 4.776
O -0.901 4.125 4.776
O 1.308 1.282 1.335
O 1.358 3.335 4.776
O 3.567 0.492 1.335
O 3.122 2.843 1.335
```

Results
density of states at the Fermi level: 5.0 states/eV per cell
total magnetization: 1.03 μB per cell
raw formation energy: -20.9 eV/f.u.
space group: No. 147
calculated volume: 150.4 Å³ per cell

=====

Question: What is the total magnetization in the third record?
Answer: 1.03 μB per cell